(1)
GdSn6Pd4 | GGA-PBE | relaxed

The structure belongs to space group I-42m (No. 121); the cell edges are 7.107, 7.107 and 9.861 Å and the angles 90.00°, 90.00° and 90.00°. Symmetry generates all atoms from Gd at (0.000, 0.000, 0.000), Sn at (0.000, 0.500, 0.000), Sn at (0.162, 0.162, 0.709) and Pd at (0.188, 0.188, 0.428).

The total energy is -4.96 eV/atom. For the density, the calculation gives 8.64 g/cm3.

---

(2)
TbHgNO | GGA-PBE | relaxed

The structure belongs to space group P4/nmm (No. 129, origin choice 2); the cell edges are 3.916, 3.916 and 8.017 Å and the angles 90.00°, 90.00° and 90.00°. Symmetry generates all atoms from Tb at (0.250, 0.250, 0.137), Hg at (0.250, 0.750, 0.500), N at (0.250, 0.250, 0.697) and O at (0.250, 0.750, 0.000).

The total energy is -5.53 eV/atom. For the density, the calculation gives 10.52 g/cm3.

---

(3)
Gd2Cl | GGA-PBE | relaxed

The structure belongs to space group Fm-3m (No. 225); the cell edges are 6.796, 6.796 and 6.796 Å and the angles 90.00°, 90.00° and 90.00°. Symmetry generates all atoms from Gd at (0.250, 0.250, 0.250) and Cl at (0.000, 0.000, 0.000).

The total energy is -4.07 eV/atom. For the density, the calculation gives 7.41 g/cm3.